First-principles (PBE-GGA) data for an optimized crystal structure of CuAsSe2Br, as listed in Alexandria.

For the polymorph energy (0 for the lowest one), the calculation gives 652 meV/atom. Its density of states at the Fermi level is 3.0 states/eV/cell. Its formation energy from raw total energies is 0.5004 eV per atom.

The structure belongs to space group P4/mmm (No. 123); the cell edges are 4.872, 4.872 and 4.706 Å and the angles 90.00°, 90.00° and 90.00°. The distinct sites, in fractional coordinates, are Cu at (0.000, 0.000, 0.000), As at (0.500, 0.500, 0.500), Se at (0.000, 0.500, 0.000) and Br at (0.000, 0.000, 0.500).

=====

First-principles (PBE-GGA) data for an optimized crystal structure of CuAs2Se2Br2, as listed in Alexandria.

Its density of states at the Fermi level is 3.5 states/eV/cell. Its formation energy from raw total energies is -0.1775 eV per atom.

The structure belongs to space group P-1 (No. 2); the cell edges are 3.552, 6.520 and 9.263 Å and the angles 83.69°, 78.95° and 74.27°. The distinct sites, in fractional coordinates, are Cu at (0.000, 0.000, 0.000), As at (0.083, 0.295, 0.538), Se at (0.294, 0.775, 0.638) and Br at (0.450, 0.220, 0.882).

=====

Number 1: total DFT energy (no corrections) -2.9771 eV/atom. Number 2: total DFT energy (no corrections) -3.5647 eV/atom.